Record 1
Below is crystalline CdSiMo2 at its relaxed geometry, with properties calculated at the PBE level.

```
4
Lattice="2.8434 -4.1717 0.0000 2.8434 4.1717 0.0000 0.0000 0.0000 2.7076" Properties=species:S:1:pos:R:3 pbc="T T T"
Cd 0.0000 0.0000 0.0000
Si 2.8434 0.0000 0.0000
Mo 1.4217 2.0858 1.3538
Mo 1.4217 -2.0858 1.3538
```

The formation energy (no corrections) comes out at 410 meV/atom. Its space group is No. 65.


Record 2
Below is crystalline SrCdBr2 at its relaxed geometry, with properties calculated at the PBE level.

```
4
Lattice="0.0000 3.9648 3.9648 3.9648 0.0000 3.9648 3.9648 3.9648 0.0000" Properties=species:S:1:pos:R:3 pbc="T T T"
Sr 0.0000 0.0000 0.0000
Cd 5.9472 5.9472 5.9472
Br 1.9824 1.9824 1.9824
Br 3.9648 3.9648 3.9648
```

The formation energy (no corrections) comes out at -1001 meV/atom. Its space group is No. 216.


Record 3
Below is crystalline DyLuRh at its relaxed geometry, with properties calculated at the PBE level.

```
3
Lattice="-1.7053 1.7053 6.2211 1.7053 -1.7053 6.2211 1.7053 1.7053 -6.2211" Properties=species:S:1:pos:R:3 pbc="T T T"
Dy 0.0000 0.0000 0.0000
Lu 0.0000 0.0000 3.2863
Rh 0.0000 0.0000 7.9284
```

Its energy relative to the elements is -174 kJ/mol of formula units. Its space group is No. 107.


| no. | offset from the most stable computed form (meV per atom) | E_tot (eV/atom) |
| --- | --- | --- |
| 1 | 276 | -6.590 |
| 2 | 415 | -2.487 |
| 3 | 29 | -6.093 |